No. 1
Density functional theory data (PBE) for a relaxed TeHIrI2 crystal.

a b c (Å): 5.453 5.453 3.691
angles (deg): 90.00 90.00 90.00
Fractional positions:
Te: 0.000 0.000 0.000
H: 0.000 0.000 0.500
Ir: 0.500 0.500 0.000
I: 0.000 0.500 0.500
I: 0.500 0.000 0.500

Properties
Size of the total moment = 0.000 μB per atom
Space group = No. 123
E above lowest polymorph = 0.4293 eV per atom

No. 2
Density functional theory data (PBE) for a relaxed TbDy7Ho4 crystal.

a b c (Å): 6.451 6.757 8.994
angles (deg): 86.11 76.74 82.11
Fractional positions:
Tb: 0.000 0.000 0.000
Dy: 0.000 0.500 0.000
Dy: 0.192 0.104 0.387
Dy: 0.315 0.701 0.641
Dy: 0.485 0.250 0.052
Dy: 0.515 0.750 0.948
Dy: 0.685 0.299 0.359
Dy: 0.808 0.896 0.613
Ho: 0.161 0.613 0.312
Ho: 0.359 0.194 0.715
Ho: 0.641 0.806 0.285
Ho: 0.839 0.387 0.688

Properties
E_form = 89 meV/atom
Size of the total moment = 0.000 μB per atom
Space group = No. 2
E above lowest polymorph = 0.0000 eV per atom

No. 3
Density functional theory data (PBE) for a relaxed Rb2CBr6Cl crystal.

a b c (Å): 7.402 7.402 7.402
angles (deg): 117.90 117.90 93.68
Fractional positions:
Rb: 0.250 0.750 0.500
Rb: 0.750 0.250 0.500
C: 0.000 0.000 0.000
Br: 0.219 0.219 0.438
Br: 0.219 0.781 0.000
Br: 0.229 0.229 0.000
Br: 0.771 0.771 0.000
Br: 0.781 0.219 0.000
Br: 0.781 0.781 0.562
Cl: 0.500 0.500 0.000

Properties
Size of the total moment = 0.000 μB per atom
Raw formation energy = -187.1 meV per atom
Space group = No. 139